[1]
# HoPuCdAg, relaxed, DFT PBE-GGA
data_HoPuCdAg
_cell_length_a 7.424
_cell_length_b 7.424
_cell_length_c 7.424
_cell_angle_alpha 90.00
_cell_angle_beta 90.00
_cell_angle_gamma 90.00
_space_group_name_H-M_alt 'F -4 3 m'
_space_group_IT_number 216
_space_group_name_Hall 'F -4 2 3'
loop_
_atom_site_label
_atom_site_type_symbol
_atom_site_fract_x
_atom_site_fract_y
_atom_site_fract_z
Ho1 Ho 0.000 0.000 0.000
Pu1 Pu 0.000 0.000 0.500
Cd1 Cd 0.250 0.250 0.250
Ag1 Ag 0.250 0.250 0.750
# Total magnetization in μB/atom: 1.515
# Volume in Å³ per cell: 409
# Formation energy in meV per atom: -66

***

[2]
# HfMgPS2, relaxed, DFT PBE-GGA
data_HfMgPS2
_cell_length_a 4.894
_cell_length_b 4.894
_cell_length_c 5.051
_cell_angle_alpha 90.00
_cell_angle_beta 90.00
_cell_angle_gamma 90.00
_space_group_name_H-M_alt 'P 4/m m m'
_space_group_IT_number 123
_space_group_name_Hall '-P 4 2'
loop_
_atom_site_label
_atom_site_type_symbol
_atom_site_fract_x
_atom_site_fract_y
_atom_site_fract_z
Hf1 Hf 0.000 0.000 0.000
Mg1 Mg 0.500 0.500 0.500
P1 P 0.000 0.000 0.500
S1 S 0.000 0.500 0.000
# Total magnetization in μB/atom: 0.000
# Volume in Å³ per cell: 121
# Uncorrected formation energy in kJ/mol of formula units: -214
# E above lowest polymorph in meV per atom: 0

***

Number 1: mass density 10.21 g/cm³. Number 2: mass density 4.09 g/cm³.